Record 1
Entry from the Alexandria database: crystalline KCa2Mg at its relaxed geometry (PBE-GGA).

Computed properties:
As for the total energy: -1.63 eV/atom. The space group is No. 123.

Unit cell a=3.924 b=3.924 c=10.965 alpha=90.00 beta=90.00 gamma=89.95
Element x y z (fractional)
Mg1 0.500 0.500 0.750
Ca1 0.000 0.000 0.933
Ca2 0.000 0.000 0.567
K1 0.500 0.500 0.250

---

Record 2
Entry from the Alexandria database: crystalline Sr3Al2 at its relaxed geometry (PBE-GGA).

Computed properties:
As for the total energy: -2.64 eV/atom. The space group is No. 65.

Unit cell a=4.950 b=4.565 c=8.722 alpha=105.17 beta=90.00 gamma=90.00
Element x y z (fractional)
Sr1 0.000 0.849 0.698
Sr2 0.500 0.500 0.000
Sr3 0.000 0.151 0.302
Al1 0.500 0.709 0.418
Al2 0.500 0.291 0.582

---

Record 3
Entry from the Alexandria database: crystalline BeGePt3 at its relaxed geometry (PBE-GGA).

Computed properties:
As for the total energy: -4.54 eV/atom. The space group is No. 221.

Unit cell a=4.610 b=4.610 c=4.610 alpha=90.00 beta=90.00 gamma=90.00
Element x y z (fractional)
Be1 0.500 0.500 0.500
Ge1 0.000 0.000 0.000
Pt1 0.000 0.500 0.000
Pt2 0.000 0.000 0.500
Pt3 0.500 0.000 0.000

---

Record 4
Entry from the Alexandria database: crystalline Ce2Ge4Os3 at its relaxed geometry (PBE-GGA).

Computed properties:
As for the total energy: -7.46 eV/atom. The space group is No. 69.

Unit cell a=5.644 b=5.644 c=6.822 alpha=101.62 beta=101.62 gamma=120.86
Element x y z (fractional)
Ce1 0.627 0.627 0.255
Ce2 0.373 0.373 0.745
Ge1 0.009 0.674 0.683
Ge2 0.674 0.009 0.683
Ge3 0.991 0.326 0.317
Ge4 0.326 0.991 0.317
Os1 0.500 0.000 0.000
Os2 0.000 0.000 0.000
Os3 0.000 0.500 0.000

---

Record 5
Entry from the Alexandria database: crystalline Pm5Ho12Sn3 at its relaxed geometry (PBE-GGA).

Computed properties:
As for the total energy: -3.83 eV/atom. The space group is No. 230.

Unit cell a=15.777 b=15.777 c=15.777 alpha=109.47 beta=109.47 gamma=109.47
Element x y z (fractional)
Sn1 0.750 0.375 0.125
Sn2 0.875 0.750 0.125
Sn3 0.375 0.750 0.625
Sn4 0.250 0.125 0.375
Sn5 0.875 0.125 0.250
Sn6 0.375 0.625 0.250
Sn7 0.625 0.375 0.750
Sn8 0.125 0.875 0.750
Sn9 0.750 0.875 0.625
Sn10 0.625 0.250 0.375
Sn11 0.125 0.250 0.875
Sn12 0.250 0.625 0.875
Pm1 0.125 0.375 0.250
Pm2 0.000 0.500 0.000
Pm3 0.000 0.000 0.000
Pm4 0.375 0.250 0.125
Pm5 0.500 0.000 0.500
Pm6 0.500 0.500 0.000
Pm7 0.125 0.750 0.375
Pm8 0.750 0.125 0.875
Pm9 0.750 0.625 0.375
Pm10 0.375 0.125 0.750
Pm11 0.625 0.875 0.250
Pm12 0.500 0.500 0.500
Pm13 0.500 0.000 0.000
Pm14 0.000 0.000 0.500
Pm15 0.250 0.375 0.625
Pm16 0.250 0.875 0.125
Pm17 0.000 0.500 0.500
Pm18 0.875 0.250 0.625
Pm19 0.625 0.750 0.875
Pm20 0.875 0.625 0.750
Ho1 0.732 0.145 0.077
Ho2 0.345 0.577 0.433
Ho3 0.923 0.355 0.268
Ho4 0.577 0.232 0.145
Ho5 0.588 0.732 0.655
Ho6 0.923 0.567 0.155
Ho7 0.345 0.768 0.412
Ho8 0.067 0.912 0.145
Ho9 0.567 0.923 0.655
Ho10 0.732 0.588 0.155
Ho11 0.768 0.423 0.355
Ho12 0.845 0.933 0.077
Ho13 0.145 0.732 0.577
Ho14 0.355 0.433 0.088
Ho15 0.088 0.933 0.355
Ho16 0.412 0.145 0.567
Ho17 0.088 0.155 0.232
Ho18 0.423 0.655 0.067
Ho19 0.845 0.912 0.268
Ho20 0.145 0.412 0.067
Ho21 0.355 0.923 0.768
Ho22 0.567 0.645 0.412
Ho23 0.933 0.845 0.577
Ho24 0.768 0.345 0.912
Ho25 0.433 0.355 0.588
Ho26 0.067 0.155 0.423
Ho27 0.232 0.655 0.088
Ho28 0.155 0.088 0.732
Ho29 0.645 0.077 0.232
Ho30 0.855 0.588 0.933
Ho31 0.577 0.345 0.933
Ho32 0.588 0.855 0.433
Ho33 0.912 0.845 0.768
Ho34 0.912 0.067 0.645
Ho35 0.855 0.268 0.423
Ho36 0.155 0.067 0.923
Ho37 0.645 0.567 0.912
Ho38 0.433 0.077 0.345
Ho39 0.268 0.412 0.845
Ho40 0.232 0.577 0.645
Ho41 0.933 0.088 0.855
Ho42 0.655 0.232 0.588
Ho43 0.423 0.768 0.855
Ho44 0.077 0.433 0.845
Ho45 0.412 0.268 0.345
Ho46 0.077 0.645 0.732
Ho47 0.655 0.423 0.567
Ho48 0.268 0.855 0.923

---

Record 6
Entry from the Alexandria database: crystalline Mn2CrSe at its relaxed geometry (PBE-GGA).

Computed properties:
As for the total energy: -7.64 eV/atom. The uncorrected formation energy is 0.226 eV/atom. The space group is No. 216.

Unit cell a=4.103 b=4.103 c=4.103 alpha=60.00 beta=60.00 gamma=60.00
Each line ends with the local moment (μB).
Element x y z (fractional)
Cr1 0.500 0.500 0.500  -0.81
Mn1 0.000 0.000 0.000  -0.12
Mn2 0.750 0.750 0.750  2.67
Se1 0.250 0.250 0.250  0.08